Material: BaNa2TaBi
Method: DFT, PBE
State: relaxed

```
BaNa2TaBi
1.0
5.797 0.000 0.000
0.000 5.797 0.000
0.000 0.000 6.836
Ba Na Ta Bi
1 2 1 1
Cartesian
0.000 0.000 0.000
0.000 2.899 3.418
2.899 0.000 3.418
2.899 2.899 0.000
0.000 0.000 3.418
```

Total magnetization (μB per cell): 4.000
Energy relative to the elements (eV/atom): 0.995